# 1
Er2Se (PBE-GGA, optimized geometry); calculated volume = 25.65 A^3/atom; E = -4.8283 eV per atom
1.0
0.000 3.376 3.376
3.376 0.000 3.376
3.376 3.376 0.000
Er Se
2 1
Direct
0.250 0.250 0.250 Er
0.750 0.750 0.750 Er
0.000 0.000 0.000 Se

=====

# 2
Pr2GaSn (PBE-GGA, optimized geometry); calculated volume = 29.07 A^3/atom; E = -4.8514 eV per atom
1.0
-1.179 3.286 -2.529
-5.377 0.534 3.200
-2.039 3.146 5.038
Ga Sn Pr
1 1 2
Direct
0.500 0.419 0.419 Ga
0.000 0.575 0.575 Sn
0.000 0.862 0.862 Pr
0.500 0.145 0.145 Pr

=====

# 3
RbNdBeTe3 (PBE-GGA, optimized geometry); calculated volume = 36.31 A^3/atom; E = -4.1588 eV per atom
1.0
-3.664 6.784 3.717
1.915 -8.343 -0.010
10.240 2.343 5.818
Te Rb Be Nd
6 2 2 2
Direct
0.057 0.943 0.250 Te
0.377 0.623 0.082 Te
0.623 0.377 0.582 Te
0.377 0.623 0.418 Te
0.623 0.377 0.918 Te
0.943 0.057 0.750 Te
0.744 0.256 0.250 Rb
0.256 0.744 0.750 Rb
0.536 0.464 0.750 Be
0.464 0.536 0.250 Be
0.000 0.000 0.500 Nd
0.000 0.000 0.000 Nd

=====

# 4
NiC (PBE-GGA, optimized geometry); calculated volume = 9.60 A^3/atom; E = -6.2001 eV per atom
1.0
5.239 0.000 0.000
0.000 2.753 0.000
0.000 0.000 2.661
C Ni
2 2
Direct
0.750 0.000 0.521 C
0.250 0.000 0.479 C
0.750 0.500 0.015 Ni
0.250 0.500 0.985 Ni

=====

- Among the records above, which one has the lowest calculated volume?
  NiC